## w
! SnHg4Bi (GGA-PBE, relaxed); values from VASP
! V (Å³/f.u.): 160.7
! Magnetic moment (μB per formula unit): 0.0
&SYSTEM
  ibrav = 0, nat = 6, ntyp = 3
/
ATOMIC_SPECIES
Bi 208.98 Bi.upf
Sn 118.71 Sn.upf
Hg 200.59 Hg.upf
ATOMIC_POSITIONS angstrom
Bi 0.0000 0.0000 0.0000
Sn -1.2450 0.3174 3.5091
Hg -2.2057 -1.1667 6.6193
Hg -3.7568 1.3400 5.8422
Hg -3.1120 0.7932 8.7712
Hg -0.8856 1.5723 6.8399
CELL_PARAMETERS angstrom
-4.4567 -1.5594 3.8658
1.2908 -1.0945 5.8630
-1.8141 3.9233 4.3075



## x
! SnHg4Bi (GGA-PBE, relaxed); values from VASP
! V (Å³/f.u.): 171.7
! Magnetic moment (μB per formula unit): 0.0
&SYSTEM
  ibrav = 0, nat = 6, ntyp = 3
/
ATOMIC_SPECIES
Sn 118.71 Sn.upf
Hg 200.59 Hg.upf
Bi 208.98 Bi.upf
ATOMIC_POSITIONS angstrom
Sn 1.6463 -6.7967 -3.2184
Hg 1.2909 -3.2244 -0.2289
Hg 4.9195 -1.8998 -2.5134
Hg 3.4940 -4.6989 -2.2215
Hg 2.6152 -0.2668 -0.6128
Bi -0.8711 -5.0494 -1.4524
CELL_PARAMETERS angstrom
-4.7999 -5.5586 -5.1255
9.4978 2.6135 1.2841
1.6939 -2.5998 1.2553



Result of the stability comparison: x is the most stable of them.